# ReSbCl2

Crystalline ReSbCl2 at its relaxed geometry (PBE-GGA, Alexandria via LeMat-Bulk).

Distance to the lowest polymorph of the same formula in meV per atom: 734
Space group: F-43m
DFT total energy in eV/cell: -17.30

```
data_ReSbCl2
_symmetry_space_group_name_H-M 'P 1'
_symmetry_Int_Tables_number 1
_symmetry_space_group_name_Hall 'P 1'
_cell_length_a 4.814
_cell_length_b 4.814
_cell_length_c 4.814
_cell_angle_alpha 120.03
_cell_angle_beta 120.03
_cell_angle_gamma 89.96
loop_
_atom_site_label
_atom_site_type_symbol
_atom_site_fract_x
_atom_site_fract_y
_atom_site_fract_z
Re1 Re 0.500 0.500 0.000
Cl1 Cl 0.000 0.000 0.000
Sb1 Sb 0.750 0.250 0.500
Cl2 Cl 0.250 0.750 0.500
```